Entry 1:
Density functional theory data (PBE) for Ce2AgSe4 after structural relaxation.

a = 4.382 Å, b = 7.373 Å, c = 11.388 Å
α = 90.00°, β = 90.00°, γ = 90.00°
Fractional positions:
Se: 0.000 0.388 0.217
Se: 0.500 0.232 0.940
Se: 0.000 0.888 0.283
Se: 0.000 0.612 0.783
Se: 0.000 0.112 0.717
Se: 0.500 0.768 0.060
Se: 0.500 0.268 0.440
Se: 0.500 0.732 0.560
Ce: 0.500 0.617 0.321
Ce: 0.500 0.883 0.821
Ce: 0.500 0.117 0.179
Ce: 0.500 0.383 0.679
Ag: 0.000 0.000 0.500
Ag: 0.000 0.500 0.000

Calculated values
* total energy: -5.38 eV/atom
* volume: 368 Å³/cell
* M_tot: 1.032 μB/f.u.
* space group: No. 55

Entry 2:
Density functional theory data (PBE) for Ce2Tm2In after structural relaxation.

a = 3.820 Å, b = 3.820 Å, c = 10.378 Å
α = 100.61°, β = 100.61°, γ = 90.00°
Fractional positions:
Ce: 0.750 0.250 0.500
Ce: 0.250 0.750 0.500
Tm: 0.409 0.409 0.818
Tm: 0.591 0.591 0.182
In: 0.000 0.000 0.000

Calculated values
* total energy: -4.49 eV/atom
* volume: 146 Å³/cell
* M_tot: 0.000 μB/f.u.
* space group: No. 139

Entry 3:
Density functional theory data (PBE) for NpCrN after structural relaxation.

a = 4.806 Å, b = 3.148 Å, c = 5.061 Å
α = 90.00°, β = 102.12°, γ = 90.00°
Fractional positions:
Np: 0.308 0.750 0.454
Np: 0.692 0.250 0.546
N: 0.016 0.750 0.764
N: 0.984 0.250 0.236
Cr: 0.254 0.250 0.950
Cr: 0.746 0.750 0.050

Calculated values
* total energy: -10.73 eV/atom
* volume: 75 Å³/cell
* M_tot: 0.002 μB/f.u.
* space group: No. 11

Entry 4:
Density functional theory data (PBE) for Tb5ErTmSc2 after structural relaxation.

a = 5.581 Å, b = 11.034 Å, c = 9.316 Å
α = 90.00°, β = 90.00°, γ = 104.65°
Fractional positions:
Sc: 0.867 0.734 0.203
Sc: 0.133 0.266 0.703
Sc: 0.886 0.773 0.825
Sc: 0.114 0.227 0.325
Tb: 0.012 0.025 0.010
Tb: 0.305 0.611 0.718
Tb: 0.988 0.975 0.510
Tb: 0.695 0.389 0.218
Tb: 0.608 0.216 0.548
Tb: 0.468 0.937 0.749
Tb: 0.532 0.063 0.249
Tb: 0.265 0.531 0.332
Tb: 0.392 0.784 0.048
Tb: 0.735 0.469 0.832
Er: 0.184 0.369 0.017
Er: 0.816 0.631 0.517
Tm: 0.401 0.802 0.422
Tm: 0.599 0.198 0.922

Calculated values
* total energy: -4.82 eV/atom
* volume: 555 Å³/cell
* M_tot: 0.000 μB/f.u.
* space group: No. 36

What did the second record say?
Density functional theory data (PBE) for Ce2Tm2In after structural relaxation.

a = 3.820 Å, b = 3.820 Å, c = 10.378 Å
α = 100.61°, β = 100.61°, γ = 90.00°
Fractional positions:
Ce: 0.750 0.250 0.500
Ce: 0.250 0.750 0.500
Tm: 0.409 0.409 0.818
Tm: 0.591 0.591 0.182
In: 0.000 0.000 0.000

Calculated values
* total energy: -4.49 eV/atom
* volume: 146 Å³/cell
* M_tot: 0.000 μB/f.u.
* space group: No. 139

> Which value of volume does entry 4 give?

555 Å³/cell